Entry 1:
## Ca3PrNd2Te6 (GGA-PBE)

Data for an optimized crystal structure of Ca3PrNd2Te6.

Computed properties:
Calculated total energy in eV/atom: -4.78
Symmetry: C2/m (12)
N(E_F) in states/eV per cell: 5.22
ΔE_f (raw) in kJ/mol of formula units: -1757

```
12
Lattice="4.465 0.000 0.000 0.000 9.086 0.199 -2.233 -2.751 9.500" Properties=species:S:1:pos:R:3 pbc="T T T"
Ca 2.233 4.543 0.099
Ca 2.233 -0.314 6.373
Ca 0.000 6.649 3.326
Pr 2.233 0.000 0.000
Nd 2.233 4.239 6.484
Nd 0.000 2.097 3.215
Te 0.000 6.535 6.480
Te 2.233 4.403 3.272
Te 2.233 -0.200 3.219
Te 2.233 -0.427 9.526
Te 0.000 6.763 0.173
Te 0.000 1.932 6.427
```

Entry 2:
## CaPr4Nd3Te8 (GGA-PBE)

Data for an optimized crystal structure of CaPr4Nd3Te8.

Computed properties:
Calculated total energy in eV/atom: -5.23
Symmetry: R-3m (166)
N(E_F) in states/eV per cell: 9.95
ΔE_f (raw) in kJ/mol of formula units: -2238

```
16
Lattice="-4.344 2.134 -7.625 -6.032 -6.533 1.608 1.553 6.342 6.238" Properties=species:S:1:pos:R:3 pbc="T T T"
Ca -3.016 -3.266 0.804
Pr -2.172 1.067 -3.813
Pr -1.396 4.238 -0.693
Pr 0.000 0.000 0.000
Pr 0.776 3.171 3.119
Nd -5.188 -2.200 -3.008
Nd -4.412 0.972 0.111
Nd -2.240 -0.095 3.923
Te -4.016 1.992 5.544
Te -4.796 -1.214 2.392
Te -1.834 2.064 1.622
Te -6.208 3.069 1.696
Te -2.615 -1.125 -1.475
Te -6.990 -0.121 -1.401
Te -4.027 3.157 -2.171
Te -4.807 -0.049 -5.323
```

Entry 3:
## CaPrNd2Te4 (GGA-PBE)

Data for an optimized crystal structure of CaPrNd2Te4.

Computed properties:
Calculated total energy in eV/atom: -5.08
Symmetry: P2/m (10)
N(E_F) in states/eV per cell: 3.70
ΔE_f (raw) in kJ/mol of formula units: -1135

```
8
Lattice="4.470 0.000 0.000 0.000 7.815 -0.185 0.000 2.723 7.350" Properties=species:S:1:pos:R:3 pbc="T T T"
Ca 2.235 3.908 -0.093
Pr 0.000 5.269 3.583
Nd 0.000 2.723 7.350
Nd 2.235 1.361 3.675
Te 0.000 7.892 5.412
Te 4.470 2.646 1.754
Te 2.235 6.523 1.668
Te 2.235 4.015 5.498
```

Entry 4:
## CaPr2Nd3Te6 (GGA-PBE)

Data for an optimized crystal structure of CaPr2Nd3Te6.

Computed properties:
Calculated total energy in eV/atom: -5.19
Symmetry: C2/m (12)
N(E_F) in states/eV per cell: 5.99
ΔE_f (raw) in kJ/mol of formula units: -1695

```
12
Lattice="4.491 0.000 0.000 0.000 9.053 0.325 -2.246 -2.609 9.486" Properties=species:S:1:pos:R:3 pbc="T T T"
Ca 2.246 0.000 0.000
Pr 2.246 4.255 6.453
Pr 0.000 2.189 3.358
Nd 2.246 4.527 0.163
Nd 2.246 -0.181 6.319
Nd 0.000 6.625 3.492
Te 0.000 6.579 6.684
Te 2.246 4.431 3.295
Te 2.246 -0.135 3.128
Te 2.246 -0.387 9.565
Te 0.000 6.831 0.247
Te 0.000 2.013 6.516
```

Entry 5:
## Ca2PrNdTe4 (GGA-PBE)

Data for an optimized crystal structure of Ca2PrNdTe4.

Computed properties:
Calculated total energy in eV/atom: -4.78
Symmetry: P2/m (10)
N(E_F) in states/eV per cell: 3.68
ΔE_f (raw) in kJ/mol of formula units: -1172

```
8
Lattice="-3.094 -3.161 -0.626 5.176 -5.537 2.371 -0.617 -0.910 7.651" Properties=species:S:1:pos:R:3 pbc="T T T"
Ca -0.617 -0.910 7.651
Ca -1.856 -2.036 3.513
Pr 0.424 -5.259 8.524
Nd 2.279 -3.223 5.011
Te 3.456 -4.869 7.504
Te -1.992 -4.738 1.892
Te 2.211 -5.992 3.385
Te -0.747 -3.616 6.012
```

Entry 6:
## CaPrNd2Tl4 (GGA-PBE)

Data for an optimized crystal structure of CaPrNd2Tl4.

Computed properties:
Calculated total energy in eV/atom: -3.62
ΔE_f in eV/atom: -0.40
Symmetry: R-3m (166)
N(E_F) in states/eV per cell: 5.44

```
8
Lattice="-0.131 -3.412 -4.323 4.517 -2.812 -1.428 -1.060 -8.901 3.548" Properties=species:S:1:pos:R:3 pbc="T T T"
Ca 1.663 -7.562 -1.101
Pr 0.000 0.000 0.000
Nd 2.525 -11.260 -1.719
Nd 0.801 -3.865 -0.484
Tl 0.712 -10.137 0.960
Tl 3.446 -8.768 -3.714
Tl -0.120 -6.356 1.511
Tl 2.614 -4.987 -3.163
```

What did the third record say?
## CaPrNd2Te4 (GGA-PBE)

Data for an optimized crystal structure of CaPrNd2Te4.

Computed properties:
Calculated total energy in eV/atom: -5.08
Symmetry: P2/m (10)
N(E_F) in states/eV per cell: 3.70
ΔE_f (raw) in kJ/mol of formula units: -1135

```
8
Lattice="4.470 0.000 0.000 0.000 7.815 -0.185 0.000 2.723 7.350" Properties=species:S:1:pos:R:3 pbc="T T T"
Ca 2.235 3.908 -0.093
Pr 0.000 5.269 3.583
Nd 0.000 2.723 7.350
Nd 2.235 1.361 3.675
Te 0.000 7.892 5.412
Te 4.470 2.646 1.754
Te 2.235 6.523 1.668
Te 2.235 4.015 5.498
```

Q: Among the records above, which one has the lowest N(E_F)?
A: Ca2PrNdTe4

Q: Which value of calculated total energy does entry 3 give?
A: -5.08 eV/atom